# 1
Entry from Alexandria: an optimized crystal structure of Zr2TiAu (PBEsol).

Cell and atoms, written as POSCAR:
```
Zr2TiAu
1.0
6.710 0.000 0.000
0.000 6.710 0.000
0.000 0.000 6.710
Zr Ti Au
8 4 4
Direct
0.250 0.250 0.250
0.250 0.250 0.750
0.250 0.750 0.250
0.250 0.750 0.750
0.750 0.250 0.250
0.750 0.250 0.750
0.750 0.750 0.250
0.750 0.750 0.750
0.000 0.000 0.000
0.000 0.500 0.500
0.500 0.000 0.500
0.500 0.500 0.000
0.000 0.000 0.500
0.000 0.500 0.000
0.500 0.000 0.000
0.500 0.500 0.500
```

Results
Its mass density is 9.4 g/cm3. As for the formation enthalpy at 0 K: -0.18 eV per atom. The density of states at the Fermi level is 20.63 states/eV/cell. The symmetry is Fm-3m.

# 2
Entry from Alexandria: an optimized crystal structure of CrTe2Rh (PBEsol).

Cell and atoms, written as POSCAR:
```
CrTe2Rh
1.0
6.776 0.000 0.000
0.000 6.776 0.000
0.000 0.000 6.776
Cr Te Rh
4 8 4
Direct
0.000 0.000 0.000
0.000 0.500 0.500
0.500 0.000 0.500
0.500 0.500 0.000
0.000 0.000 0.500
0.000 0.500 0.000
0.250 0.250 0.750
0.250 0.750 0.250
0.500 0.000 0.000
0.500 0.500 0.500
0.750 0.250 0.250
0.750 0.750 0.750
0.250 0.250 0.250
0.250 0.750 0.750
0.750 0.250 0.750
0.750 0.750 0.250
```

Results
Its mass density is 8.8 g/cm3. The value obtained for the excess energy over the best structure of this formula in the dataset is 0.438 eV per atom. Its energy relative to the elements, uncorrected is 247.2 kJ/mol of formula units. The density of states at the Fermi level is 17.26 states/eV/cell. The symmetry is F-43m.

# 3
Entry from Alexandria: an optimized crystal structure of ZrCrRe2 (PBEsol).

Cell and atoms, written as POSCAR:
```
ZrCrRe2
1.0
6.214 0.000 0.000
0.000 6.214 0.000
0.000 0.000 6.214
Zr Cr Re
4 4 8
Direct
0.000 0.000 0.000
0.000 0.500 0.500
0.500 0.000 0.500
0.500 0.500 0.000
0.000 0.000 0.500
0.000 0.500 0.000
0.500 0.000 0.000
0.500 0.500 0.500
0.250 0.250 0.250
0.250 0.250 0.750
0.250 0.750 0.250
0.250 0.750 0.750
0.750 0.250 0.250
0.750 0.250 0.750
0.750 0.750 0.250
0.750 0.750 0.750
```

Results
Its mass density is 14.3 g/cm3. The value obtained for the excess energy over the best structure of this formula in the dataset is 0.036 eV per atom. As for the formation enthalpy at 0 K: 0.04 eV per atom. The density of states at the Fermi level is 7.45 states/eV/cell. The symmetry is Fm-3m.